Entry from the Alexandria database: an optimized crystal structure of ErThWC3 (PBE-GGA).

abc: 3.703 7.541 7.916
angles: 99.37 90.00 90.00
Element x y z (fractional)
1 C 0.250 0.831 0.480
2 C 0.250 0.111 0.848
3 C 0.750 0.889 0.152
4 C 0.250 0.614 0.858
5 C 0.750 0.169 0.520
6 C 0.750 0.386 0.142
7 Th 0.250 0.182 0.179
8 Th 0.750 0.818 0.821
9 Er 0.750 0.369 0.843
10 Er 0.250 0.631 0.157
11 W 0.250 0.103 0.602
12 W 0.750 0.897 0.398

Results
**Energy of formation**: 0.01 eV per atom
**Space-group type**: No. 11